The following is a GGA+U calculation of CoPF3 after structural relaxation, from the Alexandria database.

Cell: 4.2150 4.2150 4.2150 Å, 90.00 90.00 90.00°
Positions (direct):
F: 0.5000 0.0000 0.0000
F: 0.0000 0.5000 0.0000
F: 0.0000 0.0000 0.5000
Co: 0.5000 0.5000 0.5000
P: 0.0000 0.0000 0.0000

Computed properties:
- Total energy: -18.69 eV/cell
- Space group: No. 221
- Calculated volume: 15.0 Å³/atom
- N(E_F): 0.98 states/eV per atom